<w>
DFT (PBE-GGA) results for an optimized crystal structure of Cs2Ga2As.

Lattice parameters (Å, degrees): 3.806 3.806 12.753 81.42 81.42 90.00
Atoms (fractional coordinates):
As (0.000, 0.000, 0.000)
Ga (0.250, 0.750, 0.500)
Ga (0.750, 0.250, 0.500)
Cs (0.402, 0.402, 0.196)
Cs (0.598, 0.598, 0.804)

Values from the calculation:
* density of states at the Fermi level: 2.7 states/eV/cell
* symmetry: I4/mmm
* theoretical density: 4.4 g/cm3
* crystal system: tetragonal

<x>
DFT (PBE-GGA) results for an optimized crystal structure of Cs2Ga2As.

Lattice parameters (Å, degrees): 8.493 8.028 8.558 75.23 61.19 58.07
Atoms (fractional coordinates):
Ga (0.745, 0.000, 0.067)
Ga (0.074, 0.000, 0.738)
Ga (0.926, 0.000, 0.262)
Ga (0.255, 0.000, 0.933)
Cs (0.152, 0.299, 0.271)
Cs (0.549, 0.299, 0.729)
Cs (0.451, 0.701, 0.271)
Cs (0.848, 0.701, 0.729)
As (0.868, 0.265, 0.000)
As (0.132, 0.735, 0.000)

Values from the calculation:
* density of states at the Fermi level: 0.5 states/eV/cell
* symmetry: C2/m
* theoretical density: 3.7 g/cm3
* crystal system: monoclinic

Which structure above is the least stable one? <w> is the least stable one.